Here is a geometry-optimized CoF4 structure from the Alexandria database. Energies are from GGA+U.

E_tot ... -0.27208 Ry per atom
Density of states at the Fermi level ... 1.391 states/eV per atom

Cell: 3.8468 3.8468 3.8468 Å, 90.00 90.00 90.00°
With the nearest neighbours (Å) after each atom.
Element x y z (fractional)
Co 0.0000 0.0000 0.0000  6 F 1.92
F 0.0000 0.0000 0.5000  2 Co 1.92
F 0.0000 0.5000 0.0000  2 Co 1.92
F 0.5000 0.0000 0.0000  2 Co 1.92
F 0.5000 0.5000 0.5000  12 F 2.72